{
  "formula": "HOsRhW2",
  "functional": "GGA-PBE",
  "state": "relaxed",
  "vol_a3_per_atom": 12.50,
  "energy_ev_per_atom": -9.5469,
  "sg": "P4/mmm",
  "crystal_system": "tetragonal",
  "cell": [[4.010, 0.000, 0.000], [0.000, 4.010, 0.000], [0.000, 0.000, 3.886]],
  "species": ["Rh", "Os", "W", "W", "H"],
  "frac_coords": [[0.000, 0.000, 0.500], [0.500, 0.500, 0.500], [0.000, 0.500, 0.000], [0.500, 0.000, 0.000], [0.000, 0.000, 0.000]]
}

---

{
  "formula": "Ca4LaAg2",
  "functional": "GGA-PBE",
  "state": "relaxed",
  "vol_a3_per_atom": 32.91,
  "sg": "P2_1/m",
  "formation_energy_ev_per_atom": -0.124,
  "crystal_system": "monoclinic",
  "cell": [[-1.149, -6.572, 0.563], [7.036, -1.644, -4.828], [1.811, 0.400, 8.356]],
  "species": ["Ca", "Ca", "Ca", "Ca", "Ca", "Ca", "Ca", "Ca", "Ag", "Ag", "Ag", "Ag", "La", "La"],
  "frac_coords": [[0.502, 0.415, 0.769], [0.250, 0.257, 0.346], [0.750, 0.743, 0.654], [0.998, 0.415, 0.769], [0.750, 0.020, 0.393], [0.002, 0.585, 0.231], [0.498, 0.585, 0.231], [0.250, 0.980, 0.607], [0.250, 0.243, 0.982], [0.750, 0.757, 0.018], [0.750, 0.377, 0.409], [0.250, 0.623, 0.591], [0.250, 0.853, 0.988], [0.750, 0.147, 0.012]]
}

---

{
  "formula": "OsC2",
  "functional": "GGA-PBE",
  "state": "relaxed",
  "vol_a3_per_atom": 9.57,
  "sg": "Fd-3m",
  "formation_energy_ev_per_atom": 3.204,
  "crystal_system": "cubic",
  "cell": [[0.000, 3.062, 3.062], [3.062, 0.000, 3.062], [3.062, 3.062, 0.000]],
  "species": ["Os", "Os", "C", "C", "C", "C"],
  "frac_coords": [[0.500, 0.500, 0.500], [0.750, 0.750, 0.750], [0.625, 0.125, 0.125], [0.125, 0.625, 0.125], [0.125, 0.125, 0.625], [0.125, 0.125, 0.125]]
}

---

{
  "formula": "La6Mg2TcC",
  "functional": "GGA-PBE",
  "state": "relaxed",
  "vol_a3_per_atom": 31.32,
  "sg": "P1",
  "formation_energy_ev_per_atom": 0.004,
  "crystal_system": "triclinic",
  "cell": [[-0.616, 2.703, -7.158], [-6.469, -3.905, -0.791], [0.824, 4.850, 5.821]],
  "species": ["La", "La", "La", "La", "La", "La", "Mg", "Mg", "Tc", "C"],
  "frac_coords": [[0.775, 0.773, 0.036], [0.730, 0.732, 0.510], [0.212, 0.205, 0.938], [0.764, 0.242, 0.016], [0.274, 0.258, 0.479], [0.232, 0.744, 0.988], [0.745, 0.232, 0.492], [0.249, 0.743, 0.491], [0.519, 0.572, 0.048], [0.999, 0.001, 0.000]]
}

---

{
  "formula": "Ac3Mg2Zn2Au4",
  "functional": "GGA-PBE",
  "state": "relaxed",
  "vol_a3_per_atom": 26.42,
  "sg": "P-3m1",
  "formation_energy_ev_per_atom": -0.618,
  "crystal_system": "trigonal",
  "cell": [[4.683, 0.000, 0.000], [-2.342, 4.056, 0.000], [0.000, 0.000, 15.300]],
  "species": ["Ac", "Ac", "Ac", "Mg", "Mg", "Zn", "Zn", "Au", "Au", "Au", "Au"],
  "frac_coords": [[0.000, 0.000, 0.733], [0.000, 0.000, 0.000], [0.000, 0.000, 0.267], [0.667, 0.333, 0.439], [0.333, 0.667, 0.561], [0.667, 0.333, 0.864], [0.333, 0.667, 0.136], [0.667, 0.333, 0.133], [0.333, 0.667, 0.867], [0.667, 0.333, 0.617], [0.333, 0.667, 0.383]]
}

---

{
  "formula": "ErPuAlZn",
  "functional": "GGA-PBE",
  "state": "relaxed",
  "vol_a3_per_atom": 22.93,
  "sg": "F-43m",
  "formation_energy_ev_per_atom": -0.199,
  "crystal_system": "cubic",
  "cell": [[-2.479, -1.977, -3.946], [-3.363, -3.714, 0.726], [-4.944, 0.909, -0.596]],
  "species": ["Zn", "Er", "Al", "Pu"],
  "frac_coords": [[0.000, 0.000, 0.000], [0.750, 0.750, 0.750], [0.500, 0.500, 0.500], [0.250, 0.250, 0.250]]
}

---

{
  "formula": "TaTeMo2",
  "functional": "GGA-PBE",
  "state": "relaxed",
  "vol_a3_per_atom": 17.57,
  "sg": "Immm",
  "formation_energy_uncorrected_ev_per_atom": 0.2797,
  "crystal_system": "orthorhombic",
  "cell": [[-0.245, 5.196, -1.516], [-3.491, 3.219, 2.610], [4.218, -3.327, 0.705]],
  "species": ["Mo", "Mo", "Ta", "Te"],
  "frac_coords": [[0.998, 0.998, 0.000], [0.502, 0.502, 0.000], [0.750, 0.250, 0.500], [0.250, 0.750, 0.500]]
}

---

{
  "formula": "CaNbAu",
  "functional": "GGA-PBE",
  "state": "relaxed",
  "vol_a3_per_atom": 22.46,
  "sg": "P-1",
  "formation_energy_ev_per_atom": -0.036,
  "crystal_system": "triclinic",
  "cell": [[6.545, 0.001, 0.007], [0.003, 3.437, -0.003], [-2.018, 5.161, 5.985]],
  "species": ["Ca", "Ca", "Au", "Au", "Nb", "Nb"],
  "frac_coords": [[0.852, 0.572, 0.792], [0.353, 0.571, 0.792], [0.691, 0.568, 0.128], [0.014, 0.574, 0.457], [0.504, 0.684, 0.383], [0.200, 0.458, 0.201]]
}

---

{
  "formula": "TbAg2HgF6",
  "functional": "GGA-PBE",
  "state": "relaxed",
  "vol_a3_per_atom": 16.61,
  "sg": "P1",
  "formation_energy_uncorrected_ev_per_atom": -2.1454,
  "crystal_system": "triclinic",
  "cell": [[6.450, 0.001, 0.015], [-3.224, 5.553, -0.010], [-3.211, -1.852, 4.632]],
  "species": ["Tb", "Ag", "Ag", "Hg", "F", "F", "F", "F", "F", "F"],
  "frac_coords": [[0.007, 0.503, 0.497], [0.570, 0.783, 0.342], [0.491, 0.246, 0.723], [0.078, 0.039, 0.100], [0.471, 0.858, 0.698], [0.547, 0.125, 0.183], [0.776, 0.649, 0.181], [0.066, 0.419, 0.179], [0.856, 0.615, 0.699], [0.102, 0.242, 0.701]]
}

---

{
  "formula": "LaScCd",
  "functional": "GGA-PBE",
  "state": "relaxed",
  "vol_a3_per_atom": 27.76,
  "sg": "Ima2",
  "formation_energy_ev_per_atom": -0.173,
  "crystal_system": "orthorhombic",
  "cell": [[6.166, 0.021, 0.098], [2.918, 5.431, 0.097], [3.094, -1.824, 5.014]],
  "species": ["Sc", "Sc", "La", "La", "Cd", "Cd"],
  "frac_coords": [[0.085, 0.428, 0.592], [0.585, 0.921, 0.584], [0.839, 0.294, 0.211], [0.339, 0.547, 0.965], [0.583, 0.925, 0.088], [0.083, 0.925, 0.588]]
}

---

{
  "formula": "Na4Np3PtSe8",
  "functional": "GGA-PBE",
  "state": "relaxed",
  "vol_a3_per_atom": 25.27,
  "sg": "C2/m",
  "formation_energy_uncorrected_ev_per_atom": -0.9489,
  "crystal_system": "monoclinic",
  "cell": [[-4.258, 2.974, -5.996], [5.991, 0.906, -3.805], [-5.203, -9.026, 4.465]],
  "species": ["Na", "Na", "Na", "Na", "Np", "Np", "Np", "Pt", "Se", "Se", "Se", "Se", "Se", "Se", "Se", "Se"],
  "frac_coords": [[0.500, 0.000, 0.000], [0.500, 0.000, 0.500], [0.000, 0.000, 0.000], [0.000, 0.000, 0.500], [0.500, 0.500, 0.000], [0.500, 0.500, 0.500], [0.000, 0.500, 0.500], [0.000, 0.500, 0.000], [0.857, 0.883, 0.164], [0.183, 0.584, 0.365], [0.337, 0.440, 0.673], [0.307, 0.883, 0.164], [0.693, 0.117, 0.836], [0.663, 0.560, 0.327], [0.817, 0.416, 0.635], [0.143, 0.117, 0.836]]
}

---

{
  "formula": "AcZrRh2",
  "functional": "GGA-PBE",
  "state": "relaxed",
  "vol_a3_per_atom": 21.53,
  "sg": "P4/mmm",
  "formation_energy_ev_per_atom": -0.612,
  "crystal_system": "tetragonal",
  "cell": [[-0.653, 2.187, 2.567], [-2.005, -2.355, 1.496], [5.761, -2.578, 3.663]],
  "species": ["Ac", "Rh", "Rh", "Zr"],
  "frac_coords": [[0.500, 0.500, 0.500], [0.000, 0.000, 0.798], [0.000, 0.000, 0.202], [0.500, 0.500, 0.000]]
}

---

{
  "formula": "BaBeFeCu2",
  "functional": "GGA-PBE",
  "state": "relaxed",
  "vol_a3_per_atom": 19.66,
  "sg": "P4/mmm",
  "formation_energy_ev_per_atom": 0.983,
  "crystal_system": "tetragonal",
  "cell": [[4.216, 0.000, 0.000], [0.000, 5.530, 0.000], [0.000, 0.000, 4.216]],
  "species": ["Be", "Ba", "Cu", "Cu", "Fe"],
  "frac_coords": [[0.000, 0.000, 0.000], [0.000, 0.500, 0.000], [0.000, 0.000, 0.500], [0.500, 0.000, 0.000], [0.500, 0.500, 0.500]]
}

---

{
  "formula": "LaV3As",
  "functional": "GGA-PBE",
  "state": "relaxed",
  "vol_a3_per_atom": 19.65,
  "sg": "Pm-3m",
  "formation_energy_ev_per_atom": 1.705,
  "crystal_system": "cubic",
  "cell": [[-0.244, -3.914, 2.432], [4.488, -0.754, -0.764], [1.045, 2.325, 3.847]],
  "species": ["As", "La", "V", "V", "V"],
  "frac_coords": [[0.500, 0.500, 0.500], [0.000, 0.000, 0.000], [0.000, 0.500, 0.000], [0.000, 0.000, 0.500], [0.500, 0.000, 0.000]]
}

---

{
  "formula": "Ho3TePSe",
  "functional": "GGA-PBE",
  "state": "relaxed",
  "vol_a3_per_atom": 26.95,
  "sg": "C2/c",
  "formation_energy_uncorrected_ev_per_atom": -1.3452,
  "crystal_system": "monoclinic",
  "cell": [[6.793, 0.304, 0.000], [1.774, 6.669, 0.000], [0.887, 3.335, 7.224]],
  "species": ["Ho", "Ho", "Ho", "Ho", "Ho", "Ho", "Te", "Te", "P", "P", "Se", "Se"],
  "frac_coords": [[0.498, 0.835, 0.863], [0.002, 0.302, 0.863], [0.750, 0.245, 0.510], [0.502, 0.165, 0.137], [0.998, 0.698, 0.137], [0.250, 0.755, 0.490], [0.250, 0.251, 0.497], [0.750, 0.749, 0.503], [0.750, 0.062, 0.876], [0.250, 0.938, 0.124], [0.250, 0.562, 0.876], [0.750, 0.438, 0.124]]
}

---

{
  "formula": "Cs2InAgBi",
  "functional": "GGA-PBE",
  "state": "relaxed",
  "vol_a3_per_atom": 51.11,
  "sg": "P4/mmm",
  "formation_energy_ev_per_atom": 0.103,
  "crystal_system": "tetragonal",
  "cell": [[6.867, 0.000, 0.000], [0.000, 5.418, 0.000], [0.000, 0.000, 6.867]],
  "species": ["Cs", "Cs", "Bi", "Ag", "In"],
  "frac_coords": [[0.000, 0.000, 0.500], [0.500, 0.000, 0.000], [0.000, 0.500, 0.000], [0.000, 0.000, 0.000], [0.500, 0.500, 0.500]]
}

---

{
  "formula": "Hf2PdRh",
  "functional": "GGA-PBE",
  "state": "relaxed",
  "vol_a3_per_atom": 19.08,
  "sg": "I-42d",
  "formation_energy_ev_per_atom": -0.328,
  "crystal_system": "tetragonal",
  "cell": [[7.228, 0.000, 0.000], [0.000, 7.228, 0.000], [3.614, 3.614, 2.922]],
  "species": ["Rh", "Rh", "Hf", "Hf", "Hf", "Hf", "Pd", "Pd"],
  "frac_coords": [[0.500, 0.500, 0.000], [0.250, 0.750, 0.500], [0.615, 0.125, 0.250], [0.135, 0.625, 0.250], [0.375, 0.385, 0.750], [0.875, 0.865, 0.750], [0.000, 0.000, 0.000], [0.750, 0.250, 0.500]]
}

---

{
  "formula": "Ti3RhW",
  "functional": "GGA-PBE",
  "state": "relaxed",
  "vol_a3_per_atom": 19.53,
  "sg": "Pm-3m",
  "formation_energy_ev_per_atom": 0.844,
  "crystal_system": "cubic",
  "cell": [[4.605, 0.000, 0.000], [0.000, 4.605, 0.000], [0.000, 0.000, 4.605]],
  "species": ["Rh", "W", "Ti", "Ti", "Ti"],
  "frac_coords": [[0.000, 0.000, 0.000], [0.500, 0.500, 0.500], [0.000, 0.500, 0.000], [0.000, 0.000, 0.500], [0.500, 0.000, 0.000]]
}

---

{
  "formula": "FeSnTe3",
  "functional": "GGA-PBE",
  "state": "relaxed",
  "vol_a3_per_atom": 27.95,
  "sg": "Pm-3m",
  "formation_energy_uncorrected_ev_per_atom": 0.2618,
  "crystal_system": "cubic",
  "cell": [[-1.249, 0.013, 5.037], [-5.026, -0.338, -1.246], [0.325, -5.178, 0.094]],
  "species": ["Te", "Te", "Te", "Sn", "Fe"],
  "frac_coords": [[0.000, 0.500, 0.000], [0.000, 0.000, 0.500], [0.500, 0.000, 0.000], [0.500, 0.500, 0.500], [0.000, 0.000, 0.000]]
}

---

{
  "formula": "BaLiRe2",
  "functional": "GGA-PBE",
  "state": "relaxed",
  "vol_a3_per_atom": 19.39,
  "sg": "R-3m",
  "formation_energy_ev_per_atom": 1.291,
  "crystal_system": "trigonal",
  "cell": [[10.876, -0.004, -0.002], [10.494, 2.857, -0.002], [10.494, 1.401, 2.490]],
  "species": ["Ba", "Li", "Re", "Re"],
  "frac_coords": [[0.250, 0.250, 0.250], [0.750, 0.750, 0.750], [0.011, 0.011, 0.011], [0.489, 0.489, 0.489]]
}

---

{
  "formula": "CsTl3Ge4O12",
  "functional": "GGA-PBE",
  "state": "relaxed",
  "vol_a3_per_atom": 17.73,
  "sg": "R32",
  "formation_energy_uncorrected_ev_per_atom": -1.0783,
  "crystal_system": "trigonal",
  "cell": [[-5.060, -4.108, 3.567], [-1.089, -1.340, -7.227], [6.564, -3.080, 1.625]],
  "species": ["Cs", "Tl", "Tl", "Tl", "Ge", "Ge", "Ge", "Ge", "O", "O", "O", "O", "O", "O", "O", "O", "O", "O", "O", "O"],
  "frac_coords": [[0.000, 0.000, 0.000], [0.553, 0.447, 0.000], [0.447, 0.000, 0.553], [0.000, 0.553, 0.447], [0.943, 0.057, 0.500], [0.057, 0.500, 0.943], [0.500, 0.943, 0.057], [0.500, 0.500, 0.500], [0.500, 0.353, 0.647], [0.909, 0.500, 0.091], [0.091, 0.909, 0.500], [0.500, 0.091, 0.909], [0.371, 0.960, 0.217], [0.217, 0.371, 0.960], [0.960, 0.217, 0.371], [0.629, 0.783, 0.040], [0.040, 0.629, 0.783], [0.783, 0.040, 0.629], [0.647, 0.500, 0.353], [0.353, 0.647, 0.500]]
}

---

{
  "formula": "Pr5SmHo2Er",
  "functional": "GGA-PBE",
  "state": "relaxed",
  "vol_a3_per_atom": 35.01,
  "sg": "Cmc2_1",
  "formation_energy_ev_per_atom": 0.142,
  "crystal_system": "orthorhombic",
  "cell": [[5.669, 0.000, 0.000], [-2.834, 10.304, 0.000], [0.000, 0.000, 10.789]],
  "species": ["Pr", "Pr", "Pr", "Pr", "Pr", "Pr", "Pr", "Pr", "Pr", "Pr", "Sm", "Sm", "Ho", "Ho", "Ho", "Ho", "Er", "Er"],
  "frac_coords": [[0.386, 0.773, 0.023], [0.720, 0.440, 0.811], [0.483, 0.966, 0.745], [0.295, 0.591, 0.704], [0.985, 0.970, 0.518], [0.614, 0.227, 0.523], [0.280, 0.560, 0.311], [0.517, 0.034, 0.245], [0.705, 0.409, 0.204], [0.015, 0.030, 0.018], [0.800, 0.601, 0.510], [0.200, 0.399, 0.010], [0.885, 0.770, 0.809], [0.111, 0.223, 0.740], [0.115, 0.230, 0.309], [0.889, 0.777, 0.240], [0.592, 0.185, 0.964], [0.408, 0.815, 0.464]]
}

---

{
  "formula": "SrZrTl2",
  "functional": "GGA-PBE",
  "state": "relaxed",
  "vol_a3_per_atom": 29.81,
  "sg": "F-43m",
  "formation_energy_ev_per_atom": 0.393,
  "crystal_system": "cubic",
  "cell": [[5.525, 0.000, 0.000], [2.762, 4.785, 0.000], [2.762, 1.595, 4.511]],
  "species": ["Sr", "Tl", "Tl", "Zr"],
  "frac_coords": [[0.500, 0.500, 0.500], [0.000, 0.000, 0.000], [0.250, 0.250, 0.250], [0.750, 0.750, 0.750]]
}

---

{
  "formula": "PaCo4Os",
  "functional": "GGA-PBE",
  "state": "relaxed",
  "vol_a3_per_atom": 13.70,
  "sg": "F-43m",
  "formation_energy_ev_per_atom": -0.056,
  "crystal_system": "cubic",
  "cell": [[-2.087, 2.793, -3.415], [-4.814, -0.261, -0.759], [-2.882, 3.714, 1.311]],
  "species": ["Co", "Co", "Co", "Co", "Pa", "Os"],
  "frac_coords": [[0.626, 0.626, 0.122], [0.626, 0.122, 0.626], [0.626, 0.626, 0.626], [0.122, 0.626, 0.626], [0.250, 0.250, 0.250], [0.000, 0.000, 0.000]]
}